Here is an optimized crystal structure of PrDy2Tm2 from the Alexandria database. Energies are from PBE.

E_tot ... -45.0 eV/cell
E above lowest polymorph ... 0 meV per atom
Formation energy ... 84 meV/atom

a b c (Å): 9.4464 9.4464 3.6477
angles (deg): 90.00 90.00 90.00
Closest atoms and distances in Å follow each position.
Positions (direct):
Pr (0.0000, 0.0000, 0.0000)  2 Pr 3.65, 4 Tm 3.75, 8 Dy 3.94
Pr (0.5000, 0.5000, 0.0000)  2 Pr 3.65, 4 Tm 3.75, 8 Dy 3.94
Dy (0.1736, 0.3264, 0.5000)  6 Tm 3.28-3.37, 2 Dy 3.65
Dy (0.3264, 0.8264, 0.5000)  6 Tm 3.28-3.37, 2 Dy 3.65
Dy (0.6736, 0.1736, 0.5000)  6 Tm 3.28-3.37, 2 Dy 3.65
Dy (0.8264, 0.6736, 0.5000)  6 Tm 3.28-3.37, 2 Dy 3.65
Tm (0.1226, 0.6226, 0.0000)  3 Tm 3.27-3.65, 6 Dy 3.28-3.37
Tm (0.3774, 0.1226, 0.0000)  3 Tm 3.27-3.65, 6 Dy 3.28-3.37
Tm (0.6226, 0.8774, 0.0000)  3 Tm 3.27-3.65, 6 Dy 3.28-3.37
Tm (0.8774, 0.3774, 0.0000)  3 Tm 3.27-3.65, 6 Dy 3.28-3.37

Here is an optimized crystal structure of PrDy3Tm from the Alexandria database. Energies are from PBE.

E_tot ... -44.4 eV/cell
E above lowest polymorph ... 0 meV per atom
Formation energy ... 175 meV/atom

a b c (Å): 4.9584 8.2443 9.2712
angles (deg): 68.88 74.50 90.00
Closest atoms and distances in Å follow each position.
Positions (direct):
Pr (0.1183, 0.1510, 0.2640)  7 Dy 3.45-3.76, 3 Tm 3.62-3.76
Pr (0.8817, 0.8490, 0.7360)  7 Dy 3.45-3.76, 3 Tm 3.62-3.76
Dy (0.0575, 0.7022, 0.3850)  6 Dy 3.20-3.47, 2 Tm 3.37, 1 Pr 3.45
Dy (0.2279, 0.6281, 0.0443)  6 Dy 3.32-3.59, 3 Tm 3.56-3.64, 3 Pr 3.65-3.68
Dy (0.4166, 0.5665, 0.6669)  8 Dy 3.41-3.59, 1 Tm 3.56, 2 Pr 3.61
Dy (0.5834, 0.4335, 0.3331)  8 Dy 3.41-3.59, 1 Tm 3.56, 2 Pr 3.61
Dy (0.7721, 0.3719, 0.9557)  6 Dy 3.32-3.59, 3 Tm 3.56-3.64, 3 Pr 3.65-3.68
Dy (0.9425, 0.2978, 0.6150)  6 Dy 3.20-3.47, 2 Tm 3.37, 1 Pr 3.45
Tm (0.3119, 0.1044, 0.8763)  2 Tm 3.34, 6 Dy 3.37-3.64, 1 Pr 3.62
Tm (0.6881, 0.8956, 0.1237)  2 Tm 3.34, 6 Dy 3.37-3.64, 1 Pr 3.62

Here is an optimized crystal structure of PrDy2Tm12 from the Alexandria database. Energies are from PBE.

E_tot ... -66.6 eV/cell
Formation energy ... 70 meV/atom

a b c (Å): 3.5747 5.6109 23.2860
angles (deg): 90.00 94.37 90.00
Closest atoms and distances in Å follow each position.
Positions (direct):
Pr (0.0000, 0.0000, 0.0000)  2 Pr 3.57, 12 Tm 3.69-3.93
Dy (0.1412, 0.0000, 0.2869)  10 Tm 3.43-3.70, 2 Dy 3.57
Dy (0.8588, 0.0000, 0.7131)  10 Tm 3.43-3.70, 2 Dy 3.57
Tm (0.0950, 0.5000, 0.1950)  10 Tm 3.42-3.57, 2 Dy 3.52
Tm (0.2208, 0.5000, 0.4432)  8 Tm 3.18-3.35
Tm (0.2879, 0.0000, 0.5740)  8 Tm 3.35-3.68, 2 Dy 3.69-3.70
Tm (0.3407, 0.5000, 0.6765)  8 Tm 3.30-3.68, 4 Dy 3.43
Tm (0.4270, 0.0000, 0.8495)  8 Tm 3.38-3.57, 2 Dy 3.63-3.64
Tm (0.4684, 0.5000, 0.9309)  7 Tm 3.21-3.57
Tm (0.5316, 0.5000, 0.0691)  7 Tm 3.21-3.57
Tm (0.5730, 0.0000, 0.1505)  8 Tm 3.38-3.57, 2 Dy 3.63-3.64
Tm (0.6593, 0.5000, 0.3235)  8 Tm 3.30-3.68, 4 Dy 3.43
Tm (0.7121, 0.0000, 0.4260)  8 Tm 3.35-3.68, 2 Dy 3.69-3.70
Tm (0.7792, 0.5000, 0.5568)  8 Tm 3.18-3.35
Tm (0.9050, 0.5000, 0.8050)  10 Tm 3.42-3.57, 2 Dy 3.52

Looking at total moment for the records above, in order, we have 0.0015, 0.0000, 0.0000 μB per atom.